Compound: Tc2IrF2
Source: Alexandria
Functional: PBE-GGA
Structure: optimized geometry

## Properties
**ρ**: 10453 kg/m3
**Energy above the most stable polymorph in this dataset**: 0.000 eV/atom
**Formation energy without anion corrections**: 122 meV per atom
**SG**: P4/mbm (127)

CIF file:
```
data_Tc2IrF2
_chemical_formula_sum 'Tc4 Ir2 F4'
_cell_length_a 7.1222
_cell_length_b 7.1222
_cell_length_c 2.6696
_cell_angle_alpha 90.00
_cell_angle_beta 90.00
_cell_angle_gamma 90.00
_space_group_name_H-M_alt 'P 1'
_space_group_IT_number 1
loop_
_space_group_symop_operation_xyz
'x,y,z'
loop_
_atom_site_label
_atom_site_type_symbol
_atom_site_fract_x
_atom_site_fract_y
_atom_site_fract_z
Tc1 Tc 0.2382 0.2618 0.0000
Tc2 Tc 0.2618 0.7618 0.0000
Tc3 Tc 0.7382 0.2382 0.0000
Tc4 Tc 0.7618 0.7382 0.0000
Ir1 Ir 0.0000 0.0000 0.5000
Ir2 Ir 0.5000 0.5000 0.5000
F1 F 0.1054 0.6054 0.5000
F2 F 0.3946 0.1054 0.5000
F3 F 0.6054 0.8946 0.5000
F4 F 0.8946 0.3946 0.5000
```

Compound: Ho2GaTc3
Source: Alexandria
Functional: PBE-GGA
Structure: optimized geometry

## Properties
**ρ**: 10443 kg/m3
**DFT formation energy**: -346 meV/atom
**SG**: R-3m (166)

CIF file:
```
data_Ho2GaTc3
_chemical_formula_sum 'Ho2 Ga1 Tc3'
_cell_length_a 5.4428
_cell_length_b 5.4428
_cell_length_c 5.4428
_cell_angle_alpha 58.57
_cell_angle_beta 58.57
_cell_angle_gamma 58.57
_space_group_name_H-M_alt 'P 1'
_space_group_IT_number 1
loop_
_space_group_symop_operation_xyz
'x,y,z'
loop_
_atom_site_label
_atom_site_type_symbol
_atom_site_fract_x
_atom_site_fract_y
_atom_site_fract_z
Ho1 Ho 0.1216 0.1216 0.1216
Ho2 Ho 0.8784 0.8784 0.8784
Ga1 Ga 0.5000 0.5000 0.5000
Tc1 Tc 0.0000 0.5000 0.5000
Tc2 Tc 0.5000 0.0000 0.5000
Tc3 Tc 0.5000 0.5000 0.0000
```

Compound: Sr2TcRh
Source: Alexandria
Functional: PBE-GGA
Structure: optimized geometry

## Properties
**ρ**: 5416 kg/m3
**Energy above the most stable polymorph in this dataset**: 0.000 eV/atom
**DFT formation energy**: 216 meV/atom
**SG**: Pm (6)

CIF file:
```
data_Sr2TcRh
_chemical_formula_sum 'Sr2 Tc1 Rh1'
_cell_length_a 4.8687
_cell_length_b 4.2756
_cell_length_c 6.0476
_cell_angle_alpha 90.00
_cell_angle_beta 113.64
_cell_angle_gamma 90.00
_space_group_name_H-M_alt 'P 1'
_space_group_IT_number 1
loop_
_space_group_symop_operation_xyz
'x,y,z'
loop_
_atom_site_label
_atom_site_type_symbol
_atom_site_fract_x
_atom_site_fract_y
_atom_site_fract_z
Sr1 Sr 0.0000 0.0000 0.0000
Sr2 Sr 0.2844 0.5000 0.5696
Tc1 Tc 0.6887 0.0000 0.3785
Rh1 Rh 0.5950 0.5000 0.1895
```

Compound: ErAs2PbO8
Source: Alexandria
Functional: PBE-GGA
Structure: optimized geometry

## Properties
**ρ**: 5314 kg/m3
**Formation energy without anion corrections**: -1626 meV per atom
**SG**: P-3 (147)

CIF file:
```
data_ErAs2PbO8
_chemical_formula_sum 'Er1 As2 Pb1 O8'
_cell_length_a 5.6700
_cell_length_b 5.6700
_cell_length_c 7.3215
_cell_angle_alpha 90.00
_cell_angle_beta 90.00
_cell_angle_gamma 120.00
_space_group_name_H-M_alt 'P 1'
_space_group_IT_number 1
loop_
_space_group_symop_operation_xyz
'x,y,z'
loop_
_atom_site_label
_atom_site_type_symbol
_atom_site_fract_x
_atom_site_fract_y
_atom_site_fract_z
Er1 Er 0.0000 0.0000 0.0000
As1 As 0.3333 0.6667 0.2756
As2 As 0.6667 0.3333 0.7244
Pb1 Pb 0.0000 0.0000 0.5000
O1 O 0.1637 0.3356 0.2023
O2 O 0.1720 0.8363 0.2023
O3 O 0.3333 0.6667 0.5106
O4 O 0.3356 0.1720 0.7977
O5 O 0.6644 0.8280 0.2023
O6 O 0.6667 0.3333 0.4894
O7 O 0.8280 0.1637 0.7977
O8 O 0.8363 0.6644 0.7977
```

Compound: CsRbLi2
Source: Alexandria
Functional: PBE-GGA
Structure: optimized geometry

## Properties
**ρ**: 1676 kg/m3
**Energy above the most stable polymorph in this dataset**: 0.056 eV/atom
**DFT formation energy**: 291 meV/atom
**SG**: I-42d (122)

CIF file:
```
data_CsRbLi2
_chemical_formula_sum 'Cs2 Rb2 Li4'
_cell_length_a 8.5801
_cell_length_b 8.5801
_cell_length_c 8.5801
_cell_angle_alpha 102.46
_cell_angle_beta 102.46
_cell_angle_gamma 124.64
_space_group_name_H-M_alt 'P 1'
_space_group_IT_number 1
loop_
_space_group_symop_operation_xyz
'x,y,z'
loop_
_atom_site_label
_atom_site_type_symbol
_atom_site_fract_x
_atom_site_fract_y
_atom_site_fract_z
Cs1 Cs 0.0000 0.0000 0.0000
Cs2 Cs 0.7500 0.2500 0.5000
Rb1 Rb 0.2500 0.7500 0.5000
Rb2 Rb 0.5000 0.5000 0.0000
Li1 Li 0.1338 0.6250 0.0088
Li2 Li 0.3750 0.3838 0.5088
Li3 Li 0.6162 0.1250 0.9912
Li4 Li 0.8750 0.8662 0.4912
```

Compound: Ta3FeI
Source: Alexandria
Functional: PBE-GGA
Structure: optimized geometry

## Properties
**ρ**: 11714 kg/m3
**Energy above the most stable polymorph in this dataset**: 0.000 eV/atom
**Formation energy without anion corrections**: 1008 meV per atom
**SG**: Pm-3m (221)

CIF file:
```
data_Ta3FeI
_chemical_formula_sum 'Ta3 Fe1 I1'
_cell_length_a 4.6853
_cell_length_b 4.6853
_cell_length_c 4.6853
_cell_angle_alpha 90.00
_cell_angle_beta 90.00
_cell_angle_gamma 90.00
_space_group_name_H-M_alt 'P 1'
_space_group_IT_number 1
loop_
_space_group_symop_operation_xyz
'x,y,z'
loop_
_atom_site_label
_atom_site_type_symbol
_atom_site_fract_x
_atom_site_fract_y
_atom_site_fract_z
Ta1 Ta 0.0000 0.0000 0.5000
Ta2 Ta 0.0000 0.5000 0.0000
Ta3 Ta 0.5000 0.0000 0.0000
Fe1 Fe 0.0000 0.0000 0.0000
I1 I 0.5000 0.5000 0.5000
```